# 1
Material: Tb8PmSn6
Method: DFT, PBE
State: optimized geometry

Cell and atoms, written as extended XYZ:
```
15
Lattice="4.5501 2.6270 6.5071 -4.5501 2.6270 6.5071 0.0000 -5.2540 6.5071" Properties=species:S:1:pos:R:3 pbc="T T T"
Tb -3.0147 0.0041 7.6938
Tb 0.0000 0.0000 3.2576
Tb -1.5109 -2.6087 11.8275
Tb 1.5038 -2.6129 7.6938
Tb -1.5038 2.6129 11.8275
Tb 1.5109 2.6087 7.6938
Tb 0.0000 0.0000 16.2637
Tb 3.0147 -0.0042 11.8275
Pm 0.0000 0.0000 9.7607
Sn -1.5337 -2.6530 8.4416
Sn -3.0645 0.0018 11.0797
Sn -1.5307 2.6548 8.4416
Sn 1.5307 -2.6548 11.0798
Sn 3.0645 -0.0018 8.4416
Sn 1.5338 2.6530 11.0797
```

Crystal system: trigonal
DOS(E_F) in states/eV/cell: 9.9
Energy in eV per atom: -4.94
Magnetic moment in Bohr magnetons per cell: 0.00
Theoretical density in kg/m³: 7574

=====

# 2
Material: La2AuC2
Method: DFT, PBE
State: optimized geometry

Cell and atoms, written as extended XYZ:
```
10
Lattice="7.3941 -2.1351 0.0000 7.3941 2.1351 0.0000 -1.5603 0.0000 6.9507" Properties=species:S:1:pos:R:3 pbc="T T T"
La 3.8885 1.3877 6.0029
La 8.5593 1.3877 4.4232
La 4.6687 -1.3877 2.5275
La 9.3395 -1.3877 0.9478
Au 7.0041 0.6731 1.7377
Au 6.2239 -0.6731 5.2131
C 3.3011 0.5546 3.2871
C 2.5210 -0.5546 6.7625
C 10.7070 0.5546 0.1882
C 9.9269 -0.5546 3.6636
```

Crystal system: monoclinic
DOS(E_F) in states/eV/cell: 5.8
Energy in eV per atom: -6.73
Magnetic moment in Bohr magnetons per cell: 0.00
Theoretical density in kg/m³: 7548